No. 1
CaBPt3 | PBE-GGA | optimized geometry

```
data_CaBPt3
_chemical_formula_sum 'Ca1 B1 Pt3'
_space_group_name_H-M_alt 'P -6 m 2'
_space_group_IT_number 187
_space_group_name_Hall 'P -6 2'
_cell_length_a 5.5012
_cell_length_b 5.5012
_cell_length_c 3.0274
_cell_angle_alpha 90.00
_cell_angle_beta 90.00
_cell_angle_gamma 120.00
loop_
_atom_site_label
_atom_site_type_symbol
_atom_site_fract_x
_atom_site_fract_y
_atom_site_fract_z
Ca1 Ca 0.0000 0.0000 0.0000
B1 B 0.3333 0.6667 0.0000
Pt1 Pt 0.5028 0.0057 0.5000
```

Properties
For the formation enthalpy at 0 K, the calculation gives -0.733 eV per atom. The calculated density is 13.31 g/cm3. The density of states at the Fermi level comes out at 0.8 states/eV/cell.

No. 2
Ca2BPt4 | PBE-GGA | optimized geometry

```
data_Ca2BPt4
_chemical_formula_sum 'Ca4 B2 Pt8'
_space_group_name_H-M_alt 'I 4/m m m'
_space_group_IT_number 139
_space_group_name_Hall '-I 4 2'
_cell_length_a 4.250
_cell_length_b 4.250
_cell_length_c 15.221
_cell_angle_alpha 90.00
_cell_angle_beta 90.00
_cell_angle_gamma 90.00
loop_
_atom_site_label
_atom_site_type_symbol
_atom_site_fract_x
_atom_site_fract_y
_atom_site_fract_z
Ca1 Ca 0.000 0.000 0.160
B1 B 0.000 0.000 0.500
Pt1 Pt 0.000 0.000 0.363
Pt2 Pt 0.000 0.500 0.000
```

Properties
For the formation enthalpy at 0 K, the calculation gives -0.563 eV per atom. The calculated density is 10.53 g/cm3. The density of states at the Fermi level comes out at 8.3 states/eV/cell.

No. 3
CaBPt | PBE-GGA | optimized geometry

```
data_CaBPt
_chemical_formula_sum 'Ca1 B1 Pt1'
_space_group_name_H-M_alt 'P -6 m 2'
_space_group_IT_number 187
_space_group_name_Hall 'P -6 2'
_cell_length_a 3.6814
_cell_length_b 3.6814
_cell_length_c 4.5018
_cell_angle_alpha 90.00
_cell_angle_beta 90.00
_cell_angle_gamma 120.00
loop_
_atom_site_label
_atom_site_type_symbol
_atom_site_fract_x
_atom_site_fract_y
_atom_site_fract_z
Ca1 Ca 0.0000 0.0000 0.0000
B1 B 0.3333 0.6667 0.5000
Pt1 Pt 0.6667 0.3333 0.5000
```

Properties
For the formation enthalpy at 0 K, the calculation gives -0.559 eV per atom. Its energy above the most stable polymorph in this dataset is 0.0 meV/atom. The calculated density is 7.73 g/cm3. The density of states at the Fermi level comes out at 2.2 states/eV/cell.

No. 4
CaB2Pt4 | PBE-GGA | optimized geometry

```
data_CaB2Pt4
_chemical_formula_sum 'Ca2 B4 Pt8'
_space_group_name_H-M_alt 'C 1 2/m 1'
_space_group_IT_number 12
_cell_length_a 8.263
_cell_length_b 5.518
_cell_length_c 5.075
_cell_angle_alpha 90.00
_cell_angle_beta 113.75
_cell_angle_gamma 90.00
loop_
_space_group_symop_operation_xyz
'x,y,z'
'-x,-y,-z'
'-x,y,-z'
'x,-y,z'
'x+1/2,y+1/2,z'
'-x+1/2,-y+1/2,-z'
'-x+1/2,y+1/2,-z'
'x+1/2,-y+1/2,z'
loop_
_atom_site_label
_atom_site_type_symbol
_atom_site_fract_x
_atom_site_fract_y
_atom_site_fract_z
Ca1 Ca 0.000 0.000 0.000
B1 B 0.114 0.500 0.997
Pt1 Pt 0.175 0.249 0.699
```

Properties
For the formation enthalpy at 0 K, the calculation gives -0.284 eV per atom. The calculated density is 13.20 g/cm3. The density of states at the Fermi level comes out at 5.6 states/eV/cell.

No. 5
CaBPt3 | PBE-GGA | optimized geometry

```
data_CaBPt3
_chemical_formula_sum 'Ca2 B2 Pt6'
_space_group_name_H-M_alt 'P 63/m m c'
_space_group_IT_number 194
_space_group_name_Hall '-P 6c 2c'
_cell_length_a 3.6256
_cell_length_b 3.6256
_cell_length_c 16.6215
_cell_angle_alpha 90.00
_cell_angle_beta 90.00
_cell_angle_gamma 120.00
loop_
_atom_site_label
_atom_site_type_symbol
_atom_site_fract_x
_atom_site_fract_y
_atom_site_fract_z
Ca1 Ca 0.0000 0.0000 0.0000
B1 B 0.3333 0.6667 0.2500
Pt1 Pt 0.0000 0.0000 0.2500
Pt2 Pt 0.3333 0.6667 0.1266
```

Properties
For the formation enthalpy at 0 K, the calculation gives -0.027 eV per atom. The calculated density is 11.17 g/cm3. The density of states at the Fermi level comes out at 5.6 states/eV/cell.

No. 6
CaBPt3 | PBE-GGA | optimized geometry

```
data_CaBPt3
_chemical_formula_sum 'Ca4 B4 Pt12'
_space_group_name_H-M_alt 'C 1 2/m 1'
_space_group_IT_number 12
_cell_length_a 14.393
_cell_length_b 4.331
_cell_length_c 5.821
_cell_angle_alpha 90.00
_cell_angle_beta 103.64
_cell_angle_gamma 90.00
loop_
_space_group_symop_operation_xyz
'x,y,z'
'-x,-y,-z'
'-x,y,-z'
'x,-y,z'
'x+1/2,y+1/2,z'
'-x+1/2,-y+1/2,-z'
'-x+1/2,y+1/2,-z'
'x+1/2,-y+1/2,z'
loop_
_atom_site_label
_atom_site_type_symbol
_atom_site_fract_x
_atom_site_fract_y
_atom_site_fract_z
Ca1 Ca 0.105 0.000 0.188
B1 B 0.166 0.500 0.869
Pt1 Pt 0.023 0.500 0.755
Pt2 Pt 0.183 0.500 0.526
Pt3 Pt 0.223 0.000 0.836
```

Properties
For the formation enthalpy at 0 K, the calculation gives -0.511 eV per atom. The calculated density is 11.98 g/cm3. The density of states at the Fermi level comes out at 7.4 states/eV/cell.

No. 7
CaBPt3 | PBE-GGA | optimized geometry

```
data_CaBPt3
_chemical_formula_sum 'Ca8 B8 Pt24'
_space_group_name_H-M_alt 'C 1 2/c 1'
_space_group_IT_number 15
_cell_length_a 13.863
_cell_length_b 8.448
_cell_length_c 6.546
_cell_angle_alpha 90.00
_cell_angle_beta 109.88
_cell_angle_gamma 90.00
loop_
_space_group_symop_operation_xyz
'x,y,z'
'-x,-y,-z'
'-x,y,-z+1/2'
'x,-y,z+1/2'
'x+1/2,y+1/2,z'
'-x+1/2,-y+1/2,-z'
'-x+1/2,y+1/2,-z+1/2'
'x+1/2,-y+1/2,z+1/2'
loop_
_atom_site_label
_atom_site_type_symbol
_atom_site_fract_x
_atom_site_fract_y
_atom_site_fract_z
Ca1 Ca 0.000 0.118 0.250
Ca2 Ca 0.000 0.375 0.750
B1 B 0.163 0.436 0.178
Pt1 Pt 0.166 0.205 0.079
Pt2 Pt 0.168 0.374 0.489
Pt3 Pt 0.172 0.096 0.705
```

Properties
For the formation enthalpy at 0 K, the calculation gives -0.440 eV per atom. The calculated density is 11.72 g/cm3. The density of states at the Fermi level comes out at 17.3 states/eV/cell.

No. 8
Ca2B10Pt | PBE-GGA | optimized geometry

```
data_Ca2B10Pt
_chemical_formula_sum 'Ca4 B20 Pt2'
_space_group_name_H-M_alt 'P b a m'
_space_group_IT_number 55
_cell_length_a 5.741
_cell_length_b 11.436
_cell_length_c 4.218
_cell_angle_alpha 90.00
_cell_angle_beta 90.00
_cell_angle_gamma 90.00
loop_
_space_group_symop_operation_xyz
'x,y,z'
'-x,-y,-z'
'-x,-y,z'
'x,y,-z'
'x+1/2,-y+1/2,-z'
'-x+1/2,y+1/2,z'
'-x+1/2,y+1/2,-z'
'x+1/2,-y+1/2,z'
loop_
_atom_site_label
_atom_site_type_symbol
_atom_site_fract_x
_atom_site_fract_y
_atom_site_fract_z
Ca1 Ca 0.201 0.136 0.000
B1 B 0.054 0.306 0.500
B2 B 0.118 0.956 0.500
B3 B 0.142 0.803 0.500
B4 B 0.218 0.381 0.200
Pt1 Pt 0.000 0.500 0.500
```

Properties
For the formation enthalpy at 0 K, the calculation gives -0.434 eV per atom. The calculated density is 4.60 g/cm3. The density of states at the Fermi level comes out at 2.2 states/eV/cell.